# CePH, relaxed, DFT PBE
data_CePH
_space_group_name_H-M_alt 'P 63/m m c'
_space_group_IT_number 194
_space_group_name_Hall '-P 6c 2c'
_cell_length_a 3.9461
_cell_length_b 3.9461
_cell_length_c 7.1569
_cell_angle_alpha 90.00
_cell_angle_beta 90.00
_cell_angle_gamma 120.00
loop_
_atom_site_label
_atom_site_type_symbol
_atom_site_fract_x
_atom_site_fract_y
_atom_site_fract_z
Ce1 Ce 0.3333 0.6667 0.2500
P1 P 0.0000 0.0000 0.0000
H1 H 0.3333 0.6667 0.7500
# Excess energy over the best structure of this formula in the dataset (eV/atom): 0.0000
# Total energy (eV/f.u.): -17.7